[1]
# UBeSi | OQMD | PBE-GGA | relaxed
# Mass density ... 8.97 Mg/m³
# Total magnetic moment ... 0.66 μB/atom
# Total energy ... -79.92 eV/cell
data_UBeSi
_chemical_formula_sum 'U4 Be4 Si4'
_symmetry_space_group_name_H-M 'F -4 3 m'
_symmetry_Int_Tables_number 216
_symmetry_space_group_name_Hall 'F -4 2 3'
_cell_length_a 5.8849
_cell_length_b 5.8849
_cell_length_c 5.8849
_cell_angle_alpha 90.00
_cell_angle_beta 90.00
_cell_angle_gamma 90.00
loop_
_atom_site_label
_atom_site_type_symbol
_atom_site_fract_x
_atom_site_fract_y
_atom_site_fract_z
U1 U 0.0000 0.0000 0.0000
Be1 Be 0.2500 0.2500 0.7500
Si1 Si 0.0000 0.0000 0.5000

=====

[2]
# LuBiO3 | OQMD | PBE-GGA | relaxed
# Mass density ... 9.68 Mg/m³
# Total magnetic moment ... 0.00 μB/atom
# Total energy ... -212.51 eV/cell
data_LuBiO3
_chemical_formula_sum 'Lu6 Bi6 O18'
_symmetry_space_group_name_H-M 'R -3'
_symmetry_Int_Tables_number 148
_symmetry_space_group_name_Hall '-R 3'
_cell_length_a 5.8717
_cell_length_b 5.8717
_cell_length_c 14.8842
_cell_angle_alpha 90.00
_cell_angle_beta 90.00
_cell_angle_gamma 120.00
loop_
_atom_site_label
_atom_site_type_symbol
_atom_site_fract_x
_atom_site_fract_y
_atom_site_fract_z
Lu1 Lu 0.0000 0.0000 0.1435
Bi1 Bi 0.0000 0.0000 0.3607
O1 O 0.0358 0.4066 0.4172

=====

[3]
# SrErSc | OQMD | PBE-GGA | relaxed
# Mass density ... 4.15 Mg/m³
# Total magnetic moment ... 0.00 μB/atom
# Total energy ... -40.49 eV/cell
data_SrErSc
_chemical_formula_sum 'Sr4 Er4 Sc4'
_symmetry_space_group_name_H-M 'F -4 3 m'
_symmetry_Int_Tables_number 216
_symmetry_space_group_name_Hall 'F -4 2 3'
_cell_length_a 7.8284
_cell_length_b 7.8284
_cell_length_c 7.8284
_cell_angle_alpha 90.00
_cell_angle_beta 90.00
_cell_angle_gamma 90.00
loop_
_atom_site_label
_atom_site_type_symbol
_atom_site_fract_x
_atom_site_fract_y
_atom_site_fract_z
Sr1 Sr 0.0000 0.0000 0.0000
Er1 Er 0.0000 0.0000 0.5000
Sc1 Sc 0.2500 0.2500 0.7500

=====

[4]
# GdDy2HoGa2 | OQMD | PBE-GGA | relaxed
# Mass density ... 8.56 Mg/m³
# Total magnetic moment ... 0.01 μB/atom
# Total energy ... -26.83 eV/cell
data_GdDy2HoGa2
_chemical_formula_sum 'Gd1 Dy2 Ho1 Ga2'
_symmetry_space_group_name_H-M 'P -6 m 2'
_symmetry_Int_Tables_number 187
_symmetry_space_group_name_Hall 'P -6 2'
_cell_length_a 5.1644
_cell_length_b 5.1644
_cell_length_c 6.6049
_cell_angle_alpha 90.00
_cell_angle_beta 90.00
_cell_angle_gamma 120.00
loop_
_atom_site_label
_atom_site_type_symbol
_atom_site_fract_x
_atom_site_fract_y
_atom_site_fract_z
Gd1 Gd 0.0000 0.0000 0.0000
Dy1 Dy 0.6667 0.3333 0.2519
Ho1 Ho 0.3333 0.6667 0.5000
Ga1 Ga 0.0000 0.0000 0.5000
Ga2 Ga 0.3333 0.6667 0.0000

=====

[5]
# IrOF | OQMD | PBE-GGA | relaxed
# Mass density ... 10.57 Mg/m³
# Total magnetic moment ... 0.00 μB/atom
# Total energy ... -70.25 eV/cell
data_IrOF
_chemical_formula_sum 'Ir4 O4 F4'
_symmetry_space_group_name_H-M 'P 41 21 2'
_symmetry_Int_Tables_number 92
_symmetry_space_group_name_Hall 'P 4abw 2nw'
_cell_length_a 4.6750
_cell_length_b 4.6750
_cell_length_c 6.5332
_cell_angle_alpha 90.00
_cell_angle_beta 90.00
_cell_angle_gamma 90.00
loop_
_atom_site_label
_atom_site_type_symbol
_atom_site_fract_x
_atom_site_fract_y
_atom_site_fract_z
Ir1 Ir 0.0357 0.0357 0.0000
O1 O 0.1689 0.8311 0.2500
F1 F 0.2226 0.7774 0.7500

=====

[6]
# DyFe2GeB | OQMD | PBE-GGA | relaxed
# Mass density ... 8.55 Mg/m³
# Total magnetic moment ... 0.41 μB/atom
# Total energy ... -69.11 eV/cell
data_DyFe2GeB
_chemical_formula_sum 'Dy2 Fe4 Ge2 B2'
_symmetry_space_group_name_H-M 'I 4 m m'
_symmetry_Int_Tables_number 107
_symmetry_space_group_name_Hall 'I 4 -2'
_cell_length_a 3.7271
_cell_length_b 3.7271
_cell_length_c 9.9958
_cell_angle_alpha 90.00
_cell_angle_beta 90.00
_cell_angle_gamma 90.00
loop_
_atom_site_label
_atom_site_type_symbol
_atom_site_fract_x
_atom_site_fract_y
_atom_site_fract_z
Dy1 Dy 0.0000 0.0000 0.0000
Fe1 Fe 0.0000 0.5000 0.2215
Ge1 Ge 0.0000 0.0000 0.3664
B1 B 0.0000 0.0000 0.6289